No. 1
Here is a relaxed structure of Co3GeH from Alexandria. Energies are from GGA-PBEsol.

Cell lengths 3.540, 3.540, 3.540 Å; angles 90.00, 90.00, 90.00 degrees
Fractional coordinates of all 5 atoms:
H 0.000 0.000 0.000
Co 0.500 0.000 0.000
Ge 0.500 0.500 0.500
Co 0.000 0.500 0.000
Co 0.000 0.000 0.500

---

No. 2
Here is a relaxed structure of Co2GeH2 from Alexandria. Energies are from GGA-PBEsol.

Cell lengths 2.844, 2.844, 5.162 Å; angles 105.99, 105.99, 90.00 degrees
Fractional coordinates of all 5 atoms:
H 0.250 0.750 0.500
Co 0.643 0.643 0.286
Ge 0.000 0.000 0.000
H 0.750 0.250 0.500
Co 0.357 0.357 0.714

---

No. 3
Here is a relaxed structure of TiCo2GeH from Alexandria. Energies are from GGA-PBEsol.

Cell lengths 4.272, 4.272, 4.809 Å; angles 90.00, 90.00, 90.00 degrees
Fractional coordinates of all 5 atoms:
H 0.500 0.500 0.500
Co 0.000 0.500 0.000
Co 0.500 0.000 0.000
Ge 0.000 0.000 0.000
Ti 0.000 0.000 0.500

---

Number 1: density of states at the Fermi level 4.71 states/eV/cell, total DFT energy (no corrections) -6.493 eV per atom, M_tot 0.00 μB/f.u.. Number 2: density of states at the Fermi level 2.59 states/eV/cell, total DFT energy (no corrections) -5.479 eV per atom, M_tot 0.00 μB/f.u.. Number 3: density of states at the Fermi level 5.69 states/eV/cell, total DFT energy (no corrections) -5.084 eV per atom, M_tot 4.20 μB/f.u..